{"formula": "RbSr2Ga2", "functional": "GGA-PBE", "state": "relaxed", "vol_a3_per_cell": 365, "delta_e_f_ev_per_atom": -0.143, "space_group": "P4/mbm (127)", "n_ef_per_ev_atom": 0.63, "polymorph_energy_mev_per_atom": 0, "lattice": [[-2.5866, -7.8434, -4.0112], [5.1296, 2.0578, -7.3316], [3.3807, -2.0328, 1.7948]], "species": ["Sr", "Sr", "Sr", "Sr", "Ga", "Ga", "Ga", "Ga", "Rb", "Rb"], "frac_coords": [[0.1727, 0.6727, 0.5000], [0.6727, 0.8273, 0.5000], [0.8273, 0.3273, 0.5000], [0.3273, 0.1727, 0.5000], [0.3947, 0.8947, 0.0000], [0.8947, 0.6053, 0.0000], [0.6053, 0.1053, 0.0000], [0.1053, 0.3947, 0.0000], [0.0000, 0.0000, 0.0000], [0.5000, 0.5000, 0.0000]]}